Entry 1:
Material: Rb3TlFe2I8
Method: DFT, PBE
State: relaxed

Computed properties:
**Spin magnetization**: 8.0 Bohr magnetons per cell
**Total energy**: -3.212 eV per atom
**Uncorrected formation energy**: -741 meV/atom

a = 8.746 Å, b = 8.746 Å, c = 10.331 Å
α = 90.00°, β = 90.00°, γ = 120.00°
Element x y z (fractional)
1 Rb 0.000 0.000 0.000
2 Rb 0.333 0.667 0.600
3 Rb 0.667 0.333 0.400
4 Tl 0.000 0.000 0.500
5 Fe 0.333 0.667 0.193
6 Fe 0.667 0.333 0.807
7 I 0.173 0.346 0.293
8 I 0.173 0.827 0.293
9 I 0.333 0.667 0.946
10 I 0.346 0.173 0.707
11 I 0.654 0.827 0.293
12 I 0.667 0.333 0.054
13 I 0.827 0.173 0.707
14 I 0.827 0.654 0.707

***

Entry 2:
Material: ScReAu2
Method: DFT, PBE
State: relaxed

Computed properties:
**Formation energy**: -18 meV/atom
**Spin magnetization**: 0.0 Bohr magnetons per cell
**Total energy**: -6.352 eV per atom

a = 2.996 Å, b = 4.675 Å, c = 4.950 Å
α = 90.00°, β = 90.00°, γ = 90.00°
Element x y z (fractional)
1 Sc 0.000 0.000 0.000
2 Re 0.000 0.500 0.356
3 Au 0.500 0.000 0.486
4 Au 0.500 0.500 0.841

***

Entry 3:
Material: AgP2Cl
Method: DFT, PBE
State: relaxed

Computed properties:
**Spin magnetization**: 0.0 Bohr magnetons per cell
**Total energy**: -3.634 eV per atom
**Uncorrected formation energy**: 245 meV/atom

a = 3.997 Å, b = 3.997 Å, c = 5.564 Å
α = 90.00°, β = 90.00°, γ = 90.00°
Element x y z (fractional)
1 Ag 0.000 0.000 0.000
2 P 0.500 0.500 0.177
3 P 0.500 0.500 0.823
4 Cl 0.000 0.000 0.500

***

Entry 4:
Material: Na3As3Pd
Method: DFT, PBE
State: relaxed

Computed properties:
**Formation energy**: -416 meV/atom
**Spin magnetization**: 0.0 Bohr magnetons per cell
**Total energy**: -3.716 eV per atom

a = 5.795 Å, b = 5.795 Å, c = 13.662 Å
α = 109.16°, β = 109.16°, γ = 45.48°
Element x y z (fractional)
1 Na 0.022 0.022 0.372
2 Na 0.102 0.102 0.919
3 Na 0.245 0.245 0.228
4 Na 0.755 0.755 0.772
5 Na 0.898 0.898 0.081
6 Na 0.978 0.978 0.628
7 As 0.374 0.374 0.461
8 As 0.393 0.393 0.924
9 As 0.457 0.457 0.766
10 As 0.543 0.543 0.234
11 As 0.607 0.607 0.076
12 As 0.626 0.626 0.539
13 Pd 0.253 0.253 0.594
14 Pd 0.747 0.747 0.406

***

Entry 5:
Material: YHgRh2
Method: DFT, PBE
State: relaxed

Computed properties:
**Formation energy**: -21 meV/atom
**Spin magnetization**: 0.0 Bohr magnetons per cell
**Total energy**: -5.388 eV per atom

a = 9.741 Å, b = 9.741 Å, c = 9.741 Å
α = 154.78°, β = 154.78°, γ = 35.97°
Element x y z (fractional)
1 Y 0.000 0.000 0.000
2 Y 0.750 0.250 0.500
3 Hg 0.250 0.750 0.500
4 Hg 0.500 0.500 0.000
5 Rh 0.172 0.625 0.047
6 Rh 0.375 0.422 0.547
7 Rh 0.578 0.125 0.953
8 Rh 0.875 0.828 0.453

***

Entry 6:
Material: Ac3Pr4Au2
Method: DFT, PBE
State: relaxed

Computed properties:
**Formation energy**: -270 meV/atom
**Spin magnetization**: 0.0 Bohr magnetons per cell
**Total energy**: -4.492 eV per atom

a = 5.640 Å, b = 6.788 Å, c = 9.330 Å
α = 86.98°, β = 72.49°, γ = 65.51°
Element x y z (fractional)
1 Ac 0.000 0.000 0.000
2 Ac 0.052 0.584 0.312
3 Ac 0.948 0.416 0.688
4 Pr 0.315 0.802 0.570
5 Pr 0.360 0.353 0.929
6 Pr 0.640 0.647 0.071
7 Pr 0.685 0.198 0.430
8 Au 0.326 0.061 0.283
9 Au 0.674 0.939 0.717

***

Entry 7:
Material: MnSn3Ge
Method: DFT, PBE
State: relaxed

Computed properties:
**Formation energy**: 832 meV/atom
**Spin magnetization**: 4.5 Bohr magnetons per cell
**Total energy**: -4.328 eV per atom

a = 5.333 Å, b = 5.333 Å, c = 5.333 Å
α = 90.00°, β = 90.00°, γ = 90.00°
Element x y z (fractional)
1 Mn 0.000 0.000 0.000
2 Sn 0.000 0.500 0.500
3 Sn 0.500 0.000 0.500
4 Sn 0.500 0.500 0.000
5 Ge 0.500 0.500 0.500

***

Entry 8:
Material: Mn2HCl
Method: DFT, PBE
State: relaxed

Computed properties:
**Spin magnetization**: 2.5 Bohr magnetons per cell
**Total energy**: -4.964 eV per atom

a = 3.794 Å, b = 3.794 Å, c = 3.794 Å
α = 60.00°, β = 60.00°, γ = 60.00°
Element x y z (fractional)
1 Mn 0.250 0.250 0.250
2 Mn 0.750 0.750 0.750
3 H 0.000 0.000 0.000
4 Cl 0.500 0.500 0.500

***

Entry 9:
Material: PmHoAgPt
Method: DFT, PBE
State: relaxed

Computed properties:
**Formation energy**: -738 meV/atom
**Spin magnetization**: 0.0 Bohr magnetons per cell
**Total energy**: -5.293 eV per atom

a = 5.080 Å, b = 5.080 Å, c = 5.080 Å
α = 60.00°, β = 60.00°, γ = 60.00°
Element x y z (fractional)
1 Pm 0.000 0.000 0.000
2 Ho 0.500 0.500 0.500
3 Ag 0.750 0.750 0.750
4 Pt 0.250 0.250 0.250

***

Entry 10:
Material: Sr2CuBr2O2
Method: DFT, PBE
State: relaxed

Computed properties:
**Spin magnetization**: 0.0 Bohr magnetons per cell
**Total energy**: -4.887 eV per atom
**Uncorrected formation energy**: -1927 meV/atom

a = 9.864 Å, b = 9.864 Å, c = 9.864 Å
α = 156.63°, β = 156.63°, γ = 33.29°
Element x y z (fractional)
1 Sr 0.090 0.090 0.000
2 Sr 0.910 0.910 0.000
3 Cu 0.500 0.500 0.000
4 Br 0.332 0.332 0.000
5 Br 0.668 0.668 0.000
6 O 0.000 0.500 0.500
7 O 0.500 0.000 0.500

***

Entry 11:
Material: TmPuIrPb
Method: DFT, PBE
State: relaxed

Computed properties:
**Formation energy**: -488 meV/atom
**Spin magnetization**: 5.6 Bohr magnetons per cell
**Total energy**: -8.332 eV per atom

a = 3.340 Å, b = 3.340 Å, c = 8.588 Å
α = 90.00°, β = 90.00°, γ = 90.00°
Element x y z (fractional)
1 Tm 0.000 0.000 0.000
2 Pu 0.000 0.000 0.410
3 Ir 0.500 0.500 0.194
4 Pb 0.500 0.500 0.709

***

Entry 12:
Material: La2Nd9Ho
Method: DFT, PBE
State: relaxed

Computed properties:
**Formation energy**: 16 meV/atom
**Spin magnetization**: 0.0 Bohr magnetons per cell
**Total energy**: -4.763 eV per atom

a = 5.201 Å, b = 5.201 Å, c = 15.618 Å
α = 90.00°, β = 90.00°, γ = 90.00°
Element x y z (fractional)
1 La 0.000 0.000 0.168
2 La 0.000 0.000 0.832
3 Nd 0.000 0.500 0.000
4 Nd 0.000 0.500 0.337
5 Nd 0.000 0.500 0.663
6 Nd 0.500 0.000 0.000
7 Nd 0.500 0.000 0.337
8 Nd 0.500 0.000 0.663
9 Nd 0.500 0.500 0.169
10 Nd 0.500 0.500 0.500
11 Nd 0.500 0.500 0.831
12 Ho 0.000 0.000 0.500